1.
5
Lattice="4.571 0.000 0.000 0.000 4.571 0.000 0.000 0.000 4.973" Properties=species:S:1:pos:R:3 comment="YSc2CdC PBE optimized geometry" e_form_ev_per_atom=-0.4159 density_g_cm3=4.847 pbc="T T T"
Y 0.000 0.000 0.000
Sc 0.000 2.285 2.486
Sc 2.285 0.000 2.486
Cd 2.285 2.285 0.000
C 0.000 0.000 2.486

=====

2.
4
Lattice="3.446 0.000 0.000 0.000 3.263 0.000 -1.679 0.000 5.785" Properties=species:S:1:pos:R:3 comment="LiMo2Se PBE optimized geometry" density_g_cm3=7.091 formation_energy_uncorrected_ev_per_atom=-0.056 pbc="T T T"
Li 0.000 0.000 0.000
Mo 0.043 1.632 4.041
Mo 1.793 0.000 2.812
Se 1.719 1.632 0.795

=====

3.
10
Lattice="7.356 0.000 0.000 0.000 7.356 0.000 0.000 0.000 3.250" Properties=species:S:1:pos:R:3 comment="Tl2FeB2 PBE optimized geometry" e_form_ev_per_atom=1.6758 e_above_lowest_polymorph_mev_per_atom=372.3 density_g_cm3=9.180 pbc="T T T"
Tl 1.646 2.032 0.000
Tl 2.032 5.711 0.000
Tl 5.324 1.646 0.000
Tl 5.711 5.324 0.000
Fe 0.000 0.000 0.000
Fe 3.678 3.678 0.000
B 0.582 4.260 1.625
B 3.096 0.582 1.625
B 4.260 6.774 1.625
B 6.774 3.096 1.625

=====

4.
4
Lattice="4.050 0.000 0.000 0.000 3.341 0.000 -1.653 0.000 6.045" Properties=species:S:1:pos:R:3 comment="TlP2Rh PBE optimized geometry" e_form_ev_per_atom=-0.0522 e_above_lowest_polymorph_mev_per_atom=115.7 density_g_cm3=7.497 pbc="T T T"
Tl 0.000 0.000 0.000
P -0.086 1.670 2.895
P 1.321 0.000 3.213
Rh 2.067 1.670 1.626

=====

5.
4
Lattice="0.000 3.760 3.760 3.760 0.000 3.760 3.760 3.760 0.000" Properties=species:S:1:pos:R:3 comment="LiPrSn2 PBE optimized geometry" e_form_ev_per_atom=-0.4112 e_above_lowest_polymorph_mev_per_atom=173.4 density_g_cm3=6.017 pbc="T T T"
Li 0.000 0.000 0.000
Pr 3.760 3.760 3.760
Sn 1.880 1.880 1.880
Sn 5.640 5.640 5.640

=====

6.
4
Lattice="2.996 -1.729 0.000 2.996 1.729 0.000 -1.971 0.000 8.543" Properties=species:S:1:pos:R:3 comment="ReSb2Cl PBE optimized geometry" e_above_lowest_polymorph_mev_per_atom=16.7 density_g_cm3=8.727 formation_energy_uncorrected_ev_per_atom=0.129 pbc="T T T"
Re 0.000 0.000 0.000
Sb 0.026 0.000 6.652
Sb 3.994 0.000 1.891
Cl 2.010 0.000 4.271

=====

7.
3
Lattice="-1.344 1.344 5.609 1.344 -1.344 5.609 1.344 1.344 -5.609" Properties=species:S:1:pos:R:3 comment="FeTcIr PBE optimized geometry" e_form_ev_per_atom=-0.0152 e_above_lowest_polymorph_mev_per_atom=54.9 density_g_cm3=14.179 pbc="T T T"
Fe 0.000 0.000 0.000
Tc 0.000 0.000 7.432
Ir 0.000 0.000 3.763

=====

8.
4
Lattice="4.709 -1.365 0.000 4.709 1.365 0.000 -0.766 0.000 4.895" Properties=species:S:1:pos:R:3 comment="FeReAu2 PBE optimized geometry" e_form_ev_per_atom=0.4743 e_above_lowest_polymorph_mev_per_atom=248.4 density_g_cm3=16.776 pbc="T T T"
Fe 0.000 0.000 0.000
Re 4.326 0.000 2.447
Au 1.781 0.000 3.679
Au 6.872 0.000 1.216